[1]
Below is crystalline FeNiSn2 at its relaxed geometry, with properties calculated at the PBE level.

DOS at the Fermi energy = 4.443 states/eV per cell
relative energy among the computed polymorphs = 0 meV/atom
ΔE_f = 177 meV/atom
uncorrected energy = -5.39 eV per atom

a b c (Å): 4.4962 4.4962 4.4962
angles (deg): 60.00 60.00 60.00
Closest atoms and distances in Å follow each position.
Element x y z (fractional)
Ni  0.5000  0.5000  0.5000  8 Sn 2.75
Sn  0.7500  0.7500  0.7500  4 Ni 2.75, 4 Fe 2.75
Sn  0.2500  0.2500  0.2500  4 Ni 2.75, 4 Fe 2.75
Fe  0.0000  0.0000  0.0000  8 Sn 2.75



[2]
Below is crystalline LiCa2MnPt at its relaxed geometry, with properties calculated at the PBE level.

DOS at the Fermi energy = 3.536 states/eV per cell
ΔE_f = -96 meV/atom
uncorrected energy = -4.32 eV per atom

a b c (Å): 5.5461 4.9901 5.5461
angles (deg): 90.00 90.00 90.00
Closest atoms and distances in Å follow each position.
Element x y z (fractional)
Ca  0.0000  0.0000  0.5000  2 Pt 2.77
Ca  0.5000  0.0000  0.0000  2 Pt 2.77
Li  0.5000  0.5000  0.5000  8 Ca 3.73, 4 Mn 3.92
Mn  0.0000  0.5000  0.0000  2 Pt 2.50
Pt  0.0000  0.0000  0.0000  2 Mn 2.50, 4 Ca 2.77



[3]
Below is crystalline Ti6Al3Hg at its relaxed geometry, with properties calculated at the PBE level.

DOS at the Fermi energy = 19.733 states/eV per cell
ΔE_f = -243 meV/atom
uncorrected energy = -6.13 eV per atom

a b c (Å): 4.6819 7.6944 10.3409
angles (deg): 114.96 90.00 90.00
Closest atoms and distances in Å follow each position.
Element x y z (fractional)
Al  0.2500  0.3711  0.7689  8 Ti 2.80-2.94, 3 Al 2.86, 1 Hg 2.96
Al  0.7500  0.4411  0.6397  9 Ti 2.78-2.98, 2 Al 2.86, 1 Hg 2.93
Al  0.7500  0.6289  0.2311  8 Ti 2.80-2.94, 3 Al 2.86, 1 Hg 2.96
Al  0.2500  0.5589  0.3603  9 Ti 2.78-2.98, 2 Al 2.86, 1 Hg 2.93
Al  0.7500  0.2343  0.0333  11 Ti 2.77-2.96, 1 Al 2.86
Al  0.2500  0.7657  0.9667  11 Ti 2.77-2.96, 1 Al 2.86
Ti  0.2500  0.0686  0.8705  7 Ti 2.78-2.94, 4 Al 2.85-2.93, 1 Hg 2.89
Ti  0.2500  0.2773  0.4620  4 Al 2.78-2.94, 5 Ti 2.83-3.03, 3 Hg 2.91-3.05
Ti  0.2500  0.8570  0.2558  4 Al 2.77-2.92, 5 Ti 2.85-3.03, 3 Hg 2.94-2.97
Ti  0.7500  0.9314  0.1295  7 Ti 2.78-2.94, 4 Al 2.85-2.93, 1 Hg 2.89
Ti  0.7500  0.5428  0.9330  7 Al 2.79-2.96, 5 Ti 2.82-2.93
Ti  0.2500  0.4572  0.0670  7 Al 2.79-2.96, 5 Ti 2.82-2.93
Ti  0.2500  0.1546  0.1599  8 Ti 2.78-2.90, 4 Al 2.81-2.92
Ti  0.7500  0.1430  0.7442  4 Al 2.77-2.92, 5 Ti 2.85-3.03, 3 Hg 2.94-2.97
Ti  0.7500  0.8454  0.8401  8 Ti 2.78-2.90, 4 Al 2.81-2.92
Ti  0.7500  0.7227  0.5380  4 Al 2.78-2.94, 5 Ti 2.83-3.03, 3 Hg 2.91-3.05
Ti  0.2500  0.6606  0.6723  5 Al 2.80-2.98, 6 Ti 2.83-2.94, 1 Hg 2.94
Ti  0.7500  0.3394  0.3277  5 Al 2.80-2.98, 6 Ti 2.83-2.94, 1 Hg 2.94
Hg  0.7500  0.0385  0.4326  8 Ti 2.89-3.05, 2 Hg 2.91, 2 Al 2.93-2.96
Hg  0.2500  0.9615  0.5674  8 Ti 2.89-3.05, 2 Hg 2.91, 2 Al 2.93-2.96



[4]
Below is crystalline SmTlInAg at its relaxed geometry, with properties calculated at the PBE level.

DOS at the Fermi energy = 1.869 states/eV per cell
ΔE_f = -241 meV/atom
uncorrected energy = -3.41 eV per atom

a b c (Å): 5.1985 5.1985 5.1985
angles (deg): 60.00 60.00 60.00
Closest atoms and distances in Å follow each position.
Element x y z (fractional)
Tl  0.7500  0.7500  0.7500  4 In 3.18, 4 Sm 3.18
In  0.5000  0.5000  0.5000  4 Tl 3.18, 4 Ag 3.18
Sm  0.0000  0.0000  0.0000  4 Ag 3.18, 4 Tl 3.18
Ag  0.2500  0.2500  0.2500  4 In 3.18, 4 Sm 3.18



[5]
Below is crystalline CeYPd4 at its relaxed geometry, with properties calculated at the PBE level.

DOS at the Fermi energy = 7.604 states/eV per cell
relative energy among the computed polymorphs = 85 meV/atom
ΔE_f = -733 meV/atom
uncorrected energy = -6.26 eV per atom

a b c (Å): 5.4788 5.4788 5.4788
angles (deg): 60.00 60.00 60.00
Closest atoms and distances in Å follow each position.
Element x y z (fractional)
Ce  0.0000  0.0000  0.0000  12 Pd 3.21, 4 Y 3.36
Pd  0.6248  0.6248  0.6248  6 Pd 2.73-2.74
Pd  0.6248  0.6248  0.1256  6 Pd 2.73-2.74
Pd  0.6248  0.1256  0.6248  6 Pd 2.73-2.74
Pd  0.1256  0.6248  0.6248  6 Pd 2.73-2.74
Y  0.2500  0.2500  0.2500  12 Pd 3.21, 4 Ce 3.36



[6]
Below is crystalline LiPrGdOs at its relaxed geometry, with properties calculated at the PBE level.

DOS at the Fermi energy = 2.493 states/eV per cell
ΔE_f = -105 meV/atom
uncorrected energy = -8.11 eV per atom

a b c (Å): 5.0202 5.0202 5.0202
angles (deg): 60.00 60.00 60.00
Closest atoms and distances in Å follow each position.
Element x y z (fractional)
Gd  0.2500  0.2500  0.2500  4 Os 3.07, 4 Li 3.07
Pr  0.7500  0.7500  0.7500  4 Li 3.07, 4 Os 3.07
Os  0.5000  0.5000  0.5000  4 Gd 3.07, 4 Pr 3.07
Li  0.0000  0.0000  0.0000  4 Gd 3.07, 4 Pr 3.07



[7]
Below is crystalline Nd2Si2HgRh5 at its relaxed geometry, with properties calculated at the PBE level.

DOS at the Fermi energy = 5.693 states/eV per cell
uncorrected energy = -6.53 eV per atom

a b c (Å): 3.5395 9.9932 9.9932
angles (deg): 90.00 90.00 90.00
Closest atoms and distances in Å follow each position.
Element x y z (fractional)
Si  0.0000  0.8786  0.3786  6 Rh 2.43-2.46
Si  0.0000  0.3786  0.1214  6 Rh 2.43-2.46
Si  0.0000  0.6214  0.8786  6 Rh 2.43-2.46
Si  0.0000  0.1214  0.6214  6 Rh 2.43-2.46
Rh  0.5000  0.5685  0.7206  2 Si 2.43
Rh  0.5000  0.0685  0.7794  2 Si 2.43
Rh  0.5000  0.7794  0.9315  2 Si 2.43
Rh  0.5000  0.7206  0.4315  2 Si 2.43
Rh  0.5000  0.4315  0.2794  2 Si 2.43
Rh  0.5000  0.2206  0.0685  2 Si 2.43
Rh  0.5000  0.2794  0.5685  2 Si 2.43
Rh  0.5000  0.0000  0.5000  4 Si 2.46
Rh  0.5000  0.5000  0.0000  4 Si 2.46
Rh  0.5000  0.9315  0.2206  2 Si 2.43
Nd  0.0000  0.3234  0.8234  3 Si 2.85-3.03, 10 Rh 3.06-3.19
Nd  0.0000  0.8234  0.6766  3 Si 2.85-3.03, 10 Rh 3.06-3.19
Nd  0.0000  0.6766  0.1766  3 Si 2.85-3.03, 10 Rh 3.06-3.19
Nd  0.0000  0.1766  0.3234  3 Si 2.85-3.03, 10 Rh 3.06-3.19
Hg  0.0000  0.5000  0.5000  8 Rh 2.91
Hg  0.0000  0.0000  0.0000  8 Rh 2.91



[8]
Below is crystalline Hg2NF at its relaxed geometry, with properties calculated at the PBE level.

DOS at the Fermi energy = 0.354 states/eV per cell
relative energy among the computed polymorphs = 438 meV/atom
uncorrected energy = -2.21 eV per atom

a b c (Å): 4.3656 4.3656 4.3656
angles (deg): 60.00 60.00 60.00
Closest atoms and distances in Å follow each position.
Element x y z (fractional)
Hg  0.7500  0.7500  0.7500  4 F 2.67, 4 N 2.67
Hg  0.2500  0.2500  0.2500  4 F 2.67, 4 N 2.67
F  0.5000  0.5000  0.5000  8 Hg 2.67
N  0.0000  0.0000  0.0000  8 Hg 2.67



[9]
Below is crystalline ZrAg3 at its relaxed geometry, with properties calculated at the PBE level.

DOS at the Fermi energy = 3.897 states/eV per cell
ΔE_f = -12 meV/atom
uncorrected energy = -4.29 eV per atom

a b c (Å): 3.4957 3.4957 12.6133
angles (deg): 90.00 90.00 90.00
Closest atoms and distances in Å follow each position.
Element x y z (fractional)
Ag  0.5000  0.0000  0.1761  9 Ag 2.88-2.97, 1 Zr 3.14
Ag  0.5000  0.0000  0.7048  5 Ag 2.89-2.97, 4 Zr 2.96
Ag  0.0000  0.5000  0.2952  5 Ag 2.89-2.97, 4 Zr 2.96
Ag  0.5000  0.0000  0.9404  10 Ag 2.88-2.97
Ag  0.0000  0.5000  0.8239  9 Ag 2.88-2.97, 1 Zr 3.14
Ag  0.0000  0.5000  0.0596  10 Ag 2.88-2.97
Zr  0.5000  0.0000  0.4250  5 Ag 2.96-3.14, 4 Zr 3.11
Zr  0.0000  0.5000  0.5750  5 Ag 2.96-3.14, 4 Zr 3.11



[10]
Below is crystalline CaZr4 at its relaxed geometry, with properties calculated at the PBE level.

DOS at the Fermi energy = 7.138 states/eV per cell
relative energy among the computed polymorphs = 1008 meV/atom
ΔE_f = 1444 meV/atom
uncorrected energy = -5.79 eV per atom

a b c (Å): 5.6828 5.6828 5.6828
angles (deg): 109.47 109.47 109.47
Closest atoms and distances in Å follow each position.
Element x y z (fractional)
Zr  0.5000  0.5000  0.5000  2 Ca 2.84
Zr  0.5000  0.0000  0.0000  2 Ca 2.84
Zr  0.0000  0.0000  0.5000  2 Ca 2.84
Zr  0.0000  0.5000  0.0000  2 Ca 2.84
Ca  0.0000  0.0000  0.0000  8 Zr 2.84



[11]
Below is crystalline BaH8Ru2 at its relaxed geometry, with properties calculated at the PBE level.

DOS at the Fermi energy = 1.149 states/eV per cell
uncorrected energy = -4.41 eV per atom

a b c (Å): 5.3003 4.8060 4.8060
angles (deg): 117.29 88.44 88.44
Closest atoms and distances in Å follow each position.
Element x y z (fractional)
H  0.3781  0.0431  0.6094  1 Ru 1.70
H  0.3166  0.5474  0.5474  2 Ru 1.89
H  0.8389  0.6481  0.1595  1 Ru 1.62
H  0.8389  0.1595  0.6481  1 Ru 1.62
H  0.3781  0.6094  0.0431  1 Ru 1.70
H  0.6152  0.2870  0.0112  2 Ru 1.71-1.88, 1 H 1.92
H  0.7851  0.6053  0.6053  2 Ru 1.83
H  0.6152  0.0112  0.2870  2 Ru 1.71-1.88, 1 H 1.92
Ru  0.5727  0.6467  0.3315  3 H 1.62-1.71
Ru  0.5727  0.3315  0.6467  3 H 1.62-1.71
Ba  0.0891  0.0768  0.0768  11 H 2.62-2.93



[12]
Below is crystalline Pm2NdIn6 at its relaxed geometry, with properties calculated at the PBE level.

DOS at the Fermi energy = 3.253 states/eV per cell
ΔE_f = -464 meV/atom
uncorrected energy = -3.88 eV per atom

a b c (Å): 3.7039 8.6661 8.6661
angles (deg): 120.00 90.00 90.00
Closest atoms and distances in Å follow each position.
Element x y z (fractional)
Nd  0.0000  0.0000  0.0000  12 In 3.43, 2 Nd 3.70
In  0.5000  0.6663  0.6663  3 In 2.88-2.89
In  0.5000  0.6663  0.0000  3 In 2.88-2.89
In  0.5000  0.0000  0.6663  3 In 2.88-2.89
In  0.5000  0.3337  0.0000  3 In 2.88-2.89
In  0.5000  0.0000  0.3337  3 In 2.88-2.89
In  0.5000  0.3337  0.3337  3 In 2.88-2.89
Pm  0.0000  0.6667  0.3333  12 In 3.43, 2 Pm 3.70
Pm  0.0000  0.3333  0.6667  12 In 3.43, 2 Pm 3.70



[13]
Below is crystalline Th3InPt at its relaxed geometry, with properties calculated at the PBE level.

DOS at the Fermi energy = 11.802 states/eV per cell
ΔE_f = -449 meV/atom
uncorrected energy = -6.66 eV per atom

a b c (Å): 6.0921 7.3518 7.0635
angles (deg): 90.00 90.00 113.44
Closest atoms and distances in Å follow each position.
Element x y z (fractional)
Pt  0.8279  0.9987  0.7500  1 In 2.76, 5 Th 2.85-2.98
Pt  0.1721  0.0013  0.2500  1 In 2.76, 5 Th 2.85-2.98
In  0.4046  0.6649  0.7500  1 Pt 2.76
In  0.5954  0.3351  0.2500  1 Pt 2.76
Th  0.4791  0.1716  0.7500  1 Pt 2.88
Th  0.9325  0.7016  0.5230  2 Pt 2.85-2.98
Th  0.0675  0.2984  0.0230  2 Pt 2.85-2.98
Th  0.9325  0.7016  0.9770  2 Pt 2.85-2.98
Th  0.5209  0.8284  0.2500  1 Pt 2.88
Th  0.0675  0.2984  0.4770  2 Pt 2.85-2.98



[14]
Below is crystalline Ba2Zn3Ga4Ag at its relaxed geometry, with properties calculated at the PBE level.

DOS at the Fermi energy = 7.640 states/eV per cell
ΔE_f = -308 meV/atom
uncorrected energy = -2.57 eV per atom

a b c (Å): 4.5501 4.5501 11.1876
angles (deg): 90.00 90.00 90.00
Closest atoms and distances in Å follow each position.
Element x y z (fractional)
Zn  0.0000  0.5000  0.1278  5 Ga 2.69-2.73
Zn  0.5000  0.0000  0.8722  5 Ga 2.69-2.73
Zn  0.0000  0.0000  0.5000  4 Ga 2.69
Ag  0.5000  0.5000  0.5000  4 Ga 2.69
Ba  0.0000  0.5000  0.7509  6 Zn 3.49-3.61, 8 Ga 3.50-3.60, 2 Ag 3.61
Ba  0.5000  0.0000  0.2491  6 Zn 3.49-3.61, 8 Ga 3.50-3.60, 2 Ag 3.61
Ga  0.0000  0.0000  0.0000  4 Zn 2.69
Ga  0.0000  0.5000  0.3719  3 Zn 2.69-2.73, 2 Ag 2.69
Ga  0.5000  0.0000  0.6281  3 Zn 2.69-2.73, 2 Ag 2.69
Ga  0.5000  0.5000  0.0000  4 Zn 2.69



[15]
Below is crystalline CeY6Ho2Er3 at its relaxed geometry, with properties calculated at the PBE level.

DOS at the Fermi energy = 18.841 states/eV per cell
ΔE_f = 21 meV/atom
uncorrected energy = -5.61 eV per atom

a b c (Å): 6.1753 6.1753 13.0152
angles (deg): 103.70 103.70 119.99
Closest atoms and distances in Å follow each position.
Element x y z (fractional)
Er  0.8333  0.1667  0.5001  6 Y 3.53, 6 Er 3.56-3.57
Er  0.1667  0.8333  0.4999  6 Y 3.53, 6 Er 3.56-3.57
Er  0.5000  0.5000  0.5000  6 Y 3.52, 6 Er 3.56-3.57
Y  0.0826  0.7510  0.7500  1 Ce 3.52, 3 Er 3.52-3.53, 2 Ho 3.53, 6 Y 3.55-3.57
Y  0.5808  0.5809  0.2499  3 Er 3.52-3.53, 1 Ce 3.52, 2 Ho 3.53, 6 Y 3.55-3.57
Y  0.2491  0.9174  0.2500  1 Ce 3.52, 3 Er 3.52-3.53, 2 Ho 3.53, 6 Y 3.55-3.57
Y  0.9174  0.2490  0.2500  1 Ce 3.52, 3 Er 3.52-3.53, 2 Ho 3.53, 6 Y 3.55-3.57
Y  0.7509  0.0826  0.7500  1 Ce 3.52, 3 Er 3.52-3.53, 2 Ho 3.53, 6 Y 3.55-3.57
Y  0.4192  0.4191  0.7501  3 Er 3.52-3.53, 1 Ce 3.52, 2 Ho 3.53, 6 Y 3.55-3.57
Ho  0.3332  0.6668  0.0000  6 Y 3.53, 3 Ce 3.56-3.57, 3 Ho 3.56-3.57
Ho  0.6668  0.3332  0.0000  6 Y 3.53, 3 Ce 3.56-3.57, 3 Ho 3.56-3.57
Ce  0.0000  0.0000  0.0000  6 Y 3.52, 6 Ho 3.56-3.57



[16]
Below is crystalline Pr2ScGe2 at its relaxed geometry, with properties calculated at the PBE level.

DOS at the Fermi energy = 7.658 states/eV per cell
relative energy among the computed polymorphs = 0 meV/atom
ΔE_f = -765 meV/atom
uncorrected energy = -5.79 eV per atom

a b c (Å): 4.4089 6.4920 9.8603
angles (deg): 79.66 77.08 70.15
Closest atoms and distances in Å follow each position.
Element x y z (fractional)
Sc  0.2250  0.9218  0.6282  4 Ge 2.73-2.91
Sc  0.7750  0.0782  0.3718  4 Ge 2.73-2.91
Pr  0.5135  0.6573  0.3156  6 Ge 3.11-3.26, 2 Sc 3.47
Pr  0.4865  0.3427  0.6844  6 Ge 3.11-3.26, 2 Sc 3.47
Pr  0.3173  0.2692  0.0961  5 Ge 3.17-3.32, 2 Sc 3.54
Pr  0.6827  0.7308  0.9039  5 Ge 3.17-3.32, 2 Sc 3.54
Ge  0.1264  0.3098  0.4373  3 Sc 2.73-2.83, 1 Ge 2.73
Ge  0.9913  0.1325  0.8849  1 Ge 2.59
Ge  0.8736  0.6902  0.5627  3 Sc 2.73-2.83, 1 Ge 2.73
Ge  0.0087  0.8675  0.1151  1 Ge 2.59



[17]
Below is crystalline PmNd2Mg at its relaxed geometry, with properties calculated at the PBE level.

DOS at the Fermi energy = 4.167 states/eV per cell
relative energy among the computed polymorphs = 0 meV/atom
ΔE_f = -40 meV/atom
uncorrected energy = -4.01 eV per atom

a b c (Å): 3.7573 3.7573 9.1288
angles (deg): 90.00 90.00 90.00
Closest atoms and distances in Å follow each position.
Element x y z (fractional)
Nd  0.0000  0.0000  0.7738  4 Mg 3.37, 4 Pm 3.65, 4 Nd 3.76
Nd  0.0000  0.0000  0.2262  4 Mg 3.37, 4 Pm 3.65, 4 Nd 3.76
Mg  0.5000  0.5000  0.0000  8 Nd 3.37, 4 Mg 3.76
Pm  0.5000  0.5000  0.5000  8 Nd 3.65, 4 Pm 3.76